LaOs: relaxed, PBE.

- crystal system = trigonal
- DFT total energy (eV per atom) = -7.3805
- Fermi-level density of states (states/eV per cell) = 5.12
- ΔH_f (0 K) (meV per atom) = 698

abc: 2.978 2.978 11.124
angles: 90.00 90.00 120.00
Fractional coordinates of all 4 atoms:
La: 0.333 0.667 0.334
La: 0.667 0.333 0.666
Os: 0.333 0.667 0.911
Os: 0.667 0.333 0.089